Record 1
CaTcAu2: optimized geometry, GGA-PBE.

CIF file:
```
data_CaTcAu2
_chemical_formula_sum 'Ca1 Tc1 Au2'
_cell_length_a 3.594
_cell_length_b 3.594
_cell_length_c 6.240
_cell_angle_alpha 90.00
_cell_angle_beta 90.00
_cell_angle_gamma 90.00
_space_group_name_H-M_alt 'P 4 m m'
_space_group_IT_number 99
_space_group_name_Hall 'P 4 -2'
loop_
_atom_site_label
_atom_site_type_symbol
_atom_site_fract_x
_atom_site_fract_y
_atom_site_fract_z
Ca1 Ca 0.000 0.000 0.000
Tc1 Tc 0.500 0.500 0.296
Au1 Au 0.000 0.000 0.490
Au2 Au 0.500 0.500 0.747
```

Values from the calculation:
density of states at the Fermi level	3.401	states/eV/cell
VASP energy	-4.546	eV per atom
total magnetic moment	2.30	μB/cell
ΔE_f	0.7	eV per formula unit
E above lowest polymorph	165	meV/atom

---

Record 2
MnTl2I4: optimized geometry, GGA-PBE.

CIF file:
```
data_MnTl2I4
_chemical_formula_sum 'Mn2 Tl4 I8'
_cell_length_a 14.957
_cell_length_b 4.401
_cell_length_c 9.474
_cell_angle_alpha 90.00
_cell_angle_beta 118.23
_cell_angle_gamma 90.00
_space_group_name_H-M_alt 'C 1 2/m 1'
_space_group_IT_number 12
_space_group_name_Hall '-C 2y'
loop_
_atom_site_label
_atom_site_type_symbol
_atom_site_fract_x
_atom_site_fract_y
_atom_site_fract_z
Mn1 Mn 0.000 0.000 0.000
Tl1 Tl 0.140 0.500 0.691
I1 I 0.046 0.000 0.328
I2 I 0.148 0.500 0.066
```

Values from the calculation:
energy relative to the elements, uncorrected	-0.533	eV/atom
VASP energy	-3.405	eV per atom
total magnetic moment	10.00	μB/cell
E above lowest polymorph	35	meV/atom